The following is a meta-GGA SCAN calculation of AlW2Au at its PBEsol-relaxed geometry, from Alexandria via LeMat-Bulk.

a = 2.724 Å, b = 2.724 Å, c = 8.443 Å
α = 90.00°, β = 90.00°, γ = 90.00°
Fractional coordinates of all 4 atoms:
Au  0.500  0.500  0.742
Al  0.000  0.000  0.499
W  0.000  0.000  0.998
W  0.500  0.500  0.261

Uncorrected energy in eV/atom: -53.9427
Energy of formation from the pure elements in eV/f.u.: 0.514
Space group: P4mm, No. 99